Here is crystalline YCrCu at its relaxed geometry from the Alexandria database. Energies are from PBE-GGA.

Cell lengths 5.502, 5.502, 3.394 Å; angles 72.03, 72.03, 35.93 degrees
Each line ends with the local moment (μB).
Fractional coordinates of all 3 atoms:
Cr 0.972 0.972 0.028  3.19
Cu 0.358 0.358 0.642  0.10
Y 0.670 0.669 0.330  -0.05

Properties
As for the space-group type: No. 107. For the energy above the most stable polymorph in this dataset, the calculation gives 38 meV per atom. The calculation puts the formation energy at 6.04 kcal/mol of atoms. The density of states at the Fermi level comes out at 0.776 states/eV per atom.


Here is crystalline AcNdPdPt at its relaxed geometry from the Alexandria database. Energies are from PBE-GGA.

Cell lengths 5.242, 5.242, 5.242 Å; angles 60.00, 60.00, 60.00 degrees
Fractional coordinates of all 4 atoms:
Ac 0.000 0.000 0.000
Nd 0.500 0.500 0.500
Pd 0.250 0.250 0.250
Pt 0.750 0.750 0.750

Properties
As for the space-group type: No. 216. For the energy above the most stable polymorph in this dataset, the calculation gives 116 meV per atom. The calculation puts the formation energy at -19.76 kcal/mol of atoms. The density of states at the Fermi level comes out at 0.939 states/eV per atom.


Here is crystalline LaYSb2 at its relaxed geometry from the Alexandria database. Energies are from PBE-GGA.

Cell lengths 6.381, 6.381, 4.836 Å; angles 89.99, 89.99, 38.84 degrees
Fractional coordinates of all 4 atoms:
La 0.254 0.254 0.125
Sb 0.987 0.987 0.125
Sb 0.758 0.758 0.625
Y 0.502 0.502 0.625

Properties
As for the space-group type: No. 38. As for the formation energy (no corrections): -1.0606 eV per atom. For the energy above the most stable polymorph in this dataset, the calculation gives 158 meV per atom. The density of states at the Fermi level comes out at 0.205 states/eV per atom.


Here is crystalline SmMgIn2Pd4 at its relaxed geometry from the Alexandria database. Energies are from PBE-GGA.

Cell lengths 4.745, 4.745, 8.162 Å; angles 73.10, 73.10, 60.00 degrees
Fractional coordinates of all 8 atoms:
Sm 0.000 0.000 0.000
Mg 0.500 0.500 0.500
In 0.752 0.752 0.745
In 0.248 0.248 0.255
Pd 0.382 0.382 0.853
Pd 0.872 0.872 0.383
Pd 0.128 0.128 0.617
Pd 0.618 0.618 0.147

Properties
As for the space-group type: No. 166. The calculation puts the formation energy at -16.00 kcal/mol of atoms. The density of states at the Fermi level comes out at 0.517 states/eV per atom.


no.,V (Å³/cell)
1,57
2,102
3,123
4,150